1.
# PBE Sm2Fe17C, relaxed
data_Sm2Fe17C
_chemical_formula_sum 'Sm4 Fe34 C2'
_cell_length_a 9.640
_cell_length_b 8.642
_cell_length_c 6.460
_cell_angle_alpha 90.00
_cell_angle_beta 98.35
_cell_angle_gamma 90.00
_symmetry_space_group_name_H-M 'C 1 2/m 1'
_symmetry_Int_Tables_number 12
loop_
_symmetry_equiv_pos_as_xyz
'x,y,z'
'-x,-y,-z'
'-x,y,-z'
'x,-y,z'
'x+1/2,y+1/2,z'
'-x+1/2,-y+1/2,-z'
'-x+1/2,y+1/2,-z'
'x+1/2,-y+1/2,z'
loop_
_atom_site_label
_atom_site_type_symbol
_atom_site_fract_x
_atom_site_fract_y
_atom_site_fract_z
_atom_site_occupancy
Sm1 Sm 0.161 0.000 0.352 1
Fe1 Fe 0.000 0.214 0.000 1
Fe2 Fe 0.000 0.500 0.500 1
Fe3 Fe 0.097 0.254 0.656 1
Fe4 Fe 0.097 0.500 0.902 1
Fe5 Fe 0.142 0.356 0.286 1
Fe6 Fe 0.158 0.000 0.852 1
Fe7 Fe 0.250 0.250 0.000 1
C1 C 0.000 0.000 0.000 1
# VASP energy   -162.77 eV/f.u.
# DOS(E_F)   32.6 states/eV/cell
# Calculated density   7.9 g/cm3
# Size of the total moment   1.892 μB per atom
# Calculated formation energy   -0.012 eV per atom
# Volume   532.5 Å³ per cell

---

2.
# PBE SrGa2SnAu, relaxed
data_SrGa2SnAu
_chemical_formula_sum 'Sr2 Ga4 Sn2 Au2'
_cell_length_a 4.514
_cell_length_b 4.553
_cell_length_c 11.649
_cell_angle_alpha 90.00
_cell_angle_beta 90.00
_cell_angle_gamma 90.00
_symmetry_space_group_name_H-M 'I m m 2'
_symmetry_Int_Tables_number 44
loop_
_symmetry_equiv_pos_as_xyz
'x,y,z'
'-x,-y,z'
'-x,y,z'
'x,-y,z'
'x+1/2,y+1/2,z+1/2'
'-x+1/2,-y+1/2,z+1/2'
'-x+1/2,y+1/2,z+1/2'
'x+1/2,-y+1/2,z+1/2'
loop_
_atom_site_label
_atom_site_type_symbol
_atom_site_fract_x
_atom_site_fract_y
_atom_site_fract_z
_atom_site_occupancy
Sr1 Sr 0.000 0.000 0.000 1
Ga1 Ga 0.000 0.000 0.609 1
Ga2 Ga 0.000 0.500 0.256 1
Sn1 Sn 0.000 0.500 0.748 1
Au1 Au 0.000 0.000 0.391 1
# VASP energy   -17.55 eV/f.u.
# DOS(E_F)   3.5 states/eV/cell
# Calculated density   7.5 g/cm3
# Size of the total moment   0.000 μB per atom
# Calculated formation energy   -0.506 eV per atom
# Volume   239.4 Å³ per cell

---

3.
# PBE Na3NbRe, relaxed
data_Na3NbRe
_chemical_formula_sum 'Na3 Nb1 Re1'
_cell_length_a 5.151
_cell_length_b 5.151
_cell_length_c 5.151
_cell_angle_alpha 90.00
_cell_angle_beta 90.00
_cell_angle_gamma 90.00
_symmetry_space_group_name_H-M 'P m -3 m'
_symmetry_Int_Tables_number 221
_symmetry_space_group_name_Hall '-P 4 2 3'
loop_
_atom_site_label
_atom_site_type_symbol
_atom_site_fract_x
_atom_site_fract_y
_atom_site_fract_z
_atom_site_occupancy
Na1 Na 0.000 0.000 0.500 1
Nb1 Nb 0.000 0.000 0.000 1
Re1 Re 0.500 0.500 0.500 1
# VASP energy   -11.53 eV/f.u.
# DOS(E_F)   25.6 states/eV/cell
# Calculated density   4.2 g/cm3
# Size of the total moment   0.001 μB per atom
# Calculated formation energy   2.989 eV per atom
# Volume   136.7 Å³ per cell

---

4.
# PBE Tm2MgGe3Pt4, relaxed
data_Tm2MgGe3Pt4
_chemical_formula_sum 'Tm2 Mg1 Ge3 Pt4'
_cell_length_a 4.111
_cell_length_b 4.111
_cell_length_c 11.057
_cell_angle_alpha 90.00
_cell_angle_beta 90.00
_cell_angle_gamma 90.00
_symmetry_space_group_name_H-M 'P -4 m 2'
_symmetry_Int_Tables_number 115
loop_
_symmetry_equiv_pos_as_xyz
'x,y,z'
'y,-x,-z'
'-x,-y,z'
'-y,x,-z'
'-x,y,z'
'-y,-x,-z'
'x,-y,z'
'y,x,-z'
loop_
_atom_site_label
_atom_site_type_symbol
_atom_site_fract_x
_atom_site_fract_y
_atom_site_fract_z
_atom_site_occupancy
Tm1 Tm 0.000 0.500 0.242 1
Mg1 Mg 0.000 0.000 0.500 1
Ge1 Ge 0.000 0.500 0.865 1
Ge2 Ge 0.500 0.500 0.500 1
Pt1 Pt 0.000 0.000 0.000 1
Pt2 Pt 0.000 0.500 0.648 1
Pt3 Pt 0.500 0.500 0.000 1
# VASP energy   -57.36 eV/f.u.
# DOS(E_F)   5.4 states/eV/cell
# Calculated density   12.1 g/cm3
# Size of the total moment   0.000 μB per atom
# Calculated formation energy   -0.880 eV per atom
# Volume   186.9 Å³ per cell

---

5.
# PBE PuUAsSe, relaxed
data_PuUAsSe
_chemical_formula_sum 'Pu1 U1 As1 Se1'
_cell_length_a 4.114
_cell_length_b 4.114
_cell_length_c 5.824
_cell_angle_alpha 90.00
_cell_angle_beta 90.00
_cell_angle_gamma 90.00
_symmetry_space_group_name_H-M 'P 4/m m m'
_symmetry_Int_Tables_number 123
_symmetry_space_group_name_Hall '-P 4 2'
loop_
_atom_site_label
_atom_site_type_symbol
_atom_site_fract_x
_atom_site_fract_y
_atom_site_fract_z
_atom_site_occupancy
Pu1 Pu 0.000 0.000 0.000 1
U1 U 0.500 0.500 0.500 1
As1 As 0.000 0.000 0.500 1
Se1 Se 0.500 0.500 0.000 1
# VASP energy   -38.16 eV/f.u.
# DOS(E_F)   14.0 states/eV/cell
# Calculated density   10.7 g/cm3
# Size of the total moment   2.059 μB per atom
# Volume   98.6 Å³ per cell
# Uncorrected formation energy   -25.4 kcal/mol of atoms

---

6.
# PBE Dy8Zn2Ru, relaxed
data_Dy8Zn2Ru
_chemical_formula_sum 'Dy16 Zn4 Ru2'
_cell_length_a 4.925
_cell_length_b 8.330
_cell_length_c 13.893
_cell_angle_alpha 90.00
_cell_angle_beta 90.00
_cell_angle_gamma 90.00
_symmetry_space_group_name_H-M 'I m m m'
_symmetry_Int_Tables_number 71
_symmetry_space_group_name_Hall '-I 2 2'
loop_
_atom_site_label
_atom_site_type_symbol
_atom_site_fract_x
_atom_site_fract_y
_atom_site_fract_z
_atom_site_occupancy
Dy1 Dy 0.000 0.000 0.122 1
Dy2 Dy 0.000 0.225 0.344 1
Dy3 Dy 0.000 0.331 0.000 1
Zn1 Zn 0.000 0.500 0.196 1
Ru1 Ru 0.000 0.500 0.500 1
# VASP energy   -49.51 eV/f.u.
# DOS(E_F)   18.0 states/eV/cell
# Calculated density   8.9 g/cm3
# Size of the total moment   0.000 μB per atom
# Calculated formation energy   -0.079 eV per atom
# Volume   569.9 Å³ per cell
# Energy relative to the lowest polymorph listed for this composition   122 meV/atom

---

7.
# PBE TaAlCd, relaxed
data_TaAlCd
_chemical_formula_sum 'Ta1 Al1 Cd1'
_cell_length_a 4.6246
_cell_length_b 4.6246
_cell_length_c 2.9143
_cell_angle_alpha 90.00
_cell_angle_beta 90.00
_cell_angle_gamma 120.00
_symmetry_space_group_name_H-M 'P -6 m 2'
_symmetry_Int_Tables_number 187
_symmetry_space_group_name_Hall 'P -6 2'
loop_
_atom_site_label
_atom_site_type_symbol
_atom_site_fract_x
_atom_site_fract_y
_atom_site_fract_z
_atom_site_occupancy
Ta1 Ta 0.0000 0.0000 0.0000 1
Al1 Al 0.3333 0.6667 0.5000 1
Cd1 Cd 0.6667 0.3333 0.5000 1
# VASP energy   -15.91 eV/f.u.
# DOS(E_F)   1.6 states/eV/cell
# Calculated density   9.9 g/cm3
# Size of the total moment   0.000 μB per atom
# Calculated formation energy   0.200 eV per atom
# Volume   54.0 Å³ per cell
# Energy relative to the lowest polymorph listed for this composition   123 meV/atom